Material: ScV3Sb
Method: DFT, PBE-GGA
State: optimized geometry

Structure (POSCAR):
```
ScV3Sb
1.0
4.832 0.000 0.000
0.000 4.832 0.000
0.000 0.000 4.832
Sc V Sb
1 3 1
Direct
0.000 0.000 0.000
0.000 0.500 0.500
0.500 0.000 0.500
0.500 0.500 0.000
0.500 0.500 0.500
```

## Properties
M_tot ... 2.39 μB per formula unit
Uncorrected formation energy ... 1161 meV/atom
Distance to the lowest polymorph of the same formula ... 0 meV/atom
SG ... Pm-3m (221)

---

Material: Li3Sc3SiO8
Method: DFT, PBE-GGA
State: optimized geometry

Structure (POSCAR):
```
Li3Sc3SiO8
1.0
3.052 1.762 4.875
-3.052 1.762 4.875
0.000 -3.524 4.875
Li Sc Si O
3 3 1 8
Direct
0.000 0.500 0.500
0.500 0.000 0.500
0.500 0.500 0.000
0.000 0.000 0.500
0.000 0.500 0.000
0.500 0.000 0.000
0.500 0.500 0.500
0.242 0.242 0.242
0.279 0.715 0.715
0.285 0.285 0.721
0.285 0.721 0.285
0.715 0.279 0.715
0.715 0.715 0.279
0.721 0.285 0.285
0.758 0.758 0.758
```

## Properties
M_tot ... 0.00 μB per formula unit
Uncorrected formation energy ... -2870 meV/atom
SG ... R-3m (166)

---

Material: Sc6AlNi5
Method: DFT, PBE-GGA
State: optimized geometry

Structure (POSCAR):
```
Sc6AlNi5
1.0
4.530 0.000 0.000
0.000 6.396 0.000
-2.236 0.000 6.852
Sc Al Ni
6 1 5
Direct
0.000 0.236 0.000
0.000 0.764 0.000
0.328 0.247 0.657
0.328 0.753 0.657
0.672 0.247 0.343
0.672 0.753 0.343
0.500 0.500 0.000
0.152 0.500 0.302
0.171 0.000 0.337
0.500 0.000 0.000
0.829 0.000 0.663
0.848 0.500 0.698
```

## Properties
M_tot ... 0.00 μB per formula unit
Formation enthalpy at 0 K ... -5.737 eV/f.u.
SG ... P2/m (10)

---

Material: PaCd4Pt2
Method: DFT, PBE-GGA
State: optimized geometry

Structure (POSCAR):
```
PaCd4Pt2
1.0
4.507 0.000 0.000
0.000 3.733 0.000
-1.335 0.000 9.050
Pa Cd Pt
1 4 2
Direct
0.000 0.000 0.000
0.216 0.500 0.328
0.275 0.000 0.617
0.725 0.000 0.383
0.784 0.500 0.672
0.327 0.500 0.867
0.673 0.500 0.133
```

## Properties
M_tot ... 0.00 μB per formula unit
Formation enthalpy at 0 K ... -2.656 eV/f.u.
SG ... P2/m (10)

---

Material: CaAc3Pb5
Method: DFT, PBE-GGA
State: optimized geometry

Structure (POSCAR):
```
CaAc3Pb5
1.0
10.116 0.000 0.000
-5.058 8.760 0.000
0.000 0.000 6.989
Ca Ac Pb
2 6 10
Direct
0.000 0.000 0.000
0.000 0.000 0.500
0.000 0.377 0.250
0.000 0.623 0.750
0.377 0.000 0.250
0.377 0.377 0.750
0.623 0.000 0.750
0.623 0.623 0.250
0.000 0.288 0.750
0.000 0.712 0.250
0.288 0.000 0.750
0.288 0.288 0.250
0.333 0.667 0.000
0.333 0.667 0.500
0.667 0.333 0.000
0.667 0.333 0.500
0.712 0.000 0.250
0.712 0.712 0.750
```

## Properties
M_tot ... 0.00 μB per formula unit
Formation enthalpy at 0 K ... -4.258 eV/f.u.
SG ... P6_3/mcm (193)

---

Material: PuTlH6Pt2
Method: DFT, PBE-GGA
State: optimized geometry

Structure (POSCAR):
```
PuTlH6Pt2
1.0
4.370 -4.324 0.000
4.370 4.324 0.000
-2.881 0.000 7.014
Pu Tl H Pt
2 2 12 4
Direct
0.050 0.950 0.750
0.950 0.050 0.250
0.417 0.583 0.250
0.583 0.417 0.750
0.087 0.344 0.858
0.145 0.835 0.466
0.165 0.855 0.034
0.200 0.621 0.778
0.344 0.087 0.358
0.379 0.800 0.722
0.621 0.200 0.278
0.656 0.913 0.642
0.800 0.379 0.222
0.835 0.145 0.966
0.855 0.165 0.534
0.913 0.656 0.142
0.027 0.405 0.649
0.405 0.027 0.149
0.595 0.973 0.851
0.973 0.595 0.351
```

## Properties
M_tot ... 5.00 μB per formula unit
Calculated total energy ... -101.00 eV for the cell shown
SG ... C2/c (15)

---

Material: Pr12NdEr6
Method: DFT, PBE-GGA
State: optimized geometry

Structure (POSCAR):
```
Pr12NdEr6
1.0
6.112 3.529 5.144
-6.112 3.529 5.144
0.000 -7.057 5.144
Pr Nd Er
12 1 6
Direct
0.019 0.365 0.194
0.194 0.019 0.365
0.217 0.567 0.465
0.365 0.194 0.019
0.433 0.535 0.783
0.465 0.217 0.567
0.535 0.783 0.433
0.567 0.465 0.217
0.635 0.806 0.981
0.783 0.433 0.535
0.806 0.981 0.635
0.981 0.635 0.806
0.000 0.000 0.000
0.101 0.258 0.704
0.258 0.704 0.101
0.296 0.899 0.742
0.704 0.101 0.258
0.742 0.296 0.899
0.899 0.742 0.296
```

## Properties
M_tot ... 0.00 μB per formula unit
Formation enthalpy at 0 K ... 2.395 eV/f.u.
Distance to the lowest polymorph of the same formula ... 0 meV/atom
SG ... R-3 (148)

---

Material: ScH2Ir2
Method: DFT, PBE-GGA
State: optimized geometry

Structure (POSCAR):
```
ScH2Ir2
1.0
-1.496 1.496 6.163
1.496 -1.496 6.163
1.496 1.496 -6.163
Sc H Ir
1 2 2
Direct
0.000 0.000 0.000
0.250 0.750 0.500
0.750 0.250 0.500
0.347 0.347 0.000
0.653 0.653 0.000
```

## Properties
M_tot ... 0.00 μB per formula unit
Distance to the lowest polymorph of the same formula ... 158 meV/atom
SG ... I4/mmm (139)